No. 1
5
Lattice="5.2063 0.0000 0.0000 0.0000 5.2063 0.0000 0.0000 0.0000 5.3560" Properties=species:S:1:pos:R:3 comment="RbTeP2S (PBE, relaxed)" formation_energy_uncorrected_ev_per_atom=0.4789 volume_a3_per_atom=29.04 space_group="P4/mmm, No. 123" total_magnetization_mub_per_atom=0.13 mass_density_g_cm3=3.51 pbc="T T T"
Te 0.0000 0.0000 0.0000
P 2.6031 0.0000 0.0000
S 0.0000 0.0000 2.6780
Rb 2.6031 2.6031 2.6780
P 0.0000 2.6031 0.0000

No. 2
4
Lattice="-3.8363 -0.9001 -1.6247 3.5126 -1.5745 -1.8309 0.9262 -5.3021 6.3403" Properties=species:S:1:pos:R:3 comment="RbThPS (PBE, relaxed)" formation_energy_uncorrected_ev_per_atom=-1.3628 volume_a3_per_atom=31.25 space_group="R3m, No. 160" total_magnetization_mub_per_atom=0.00 mass_density_g_cm3=5.06 pbc="T T T"
P 3.0085 -1.8647 -1.5356
Th 1.5664 -5.8006 4.0486
Rb -2.0297 -3.3636 0.0095
S -0.7919 -4.3022 3.1965